Entry from the Alexandria database: AcNdIrAu after structural relaxation (GGA-PBE).

Output
For the energy above the most stable polymorph in this dataset, the calculation gives 0 meV/atom. Its raw total energy is -5.869 eV/atom. Its calculated formation energy is -0.615 eV per atom.

Cell: 7.4369 7.4369 7.4369 Å, 90.00 90.00 90.00°
With the nearest neighbours (Å) after each atom.
Space group F-43m (No. 216)
Inequivalent atoms, fractional coordinates:
Ac 0.0000 0.0000 0.0000 x4  4 Ir 3.22, 4 Au 3.22
Nd 0.0000 0.0000 0.5000 x4  4 Au 3.22, 4 Ir 3.22
Ir 0.2500 0.2500 0.7500 x4  4 Ac 3.22, 4 Nd 3.22
Au 0.2500 0.2500 0.2500 x4  4 Ac 3.22, 4 Nd 3.22


Entry from the Alexandria database: Ac6NiIr2Au after structural relaxation (GGA-PBE).

Output
Its raw total energy is -5.661 eV/atom. Its calculated formation energy is -0.517 eV per atom.

Cell: 7.6253 7.6253 20.9309 Å, 90.00 90.00 120.00°
With the nearest neighbours (Å) after each atom.
Space group R3 (No. 146, hexagonal axes)
Inequivalent atoms, fractional coordinates:
Ac 0.0044 0.3440 0.0000 x9  2 Ir 3.01-3.04, 1 Ni 3.02, 1 Au 3.23
Ac 0.0133 0.6397 0.5038 x9  2 Ir 3.00-3.04, 1 Ni 3.01, 1 Au 3.18
Ni 0.0000 0.0000 0.9271 x3  6 Ac 3.01-3.02
Ir 0.0000 0.0000 0.2496 x3  6 Ac 3.00-3.04
Ir 0.0000 0.0000 0.7444 x3  6 Ac 3.01-3.04
Au 0.0000 0.0000 0.4318 x3  6 Ac 3.18-3.23


Entry from the Alexandria database: Ac8NiIr3Au4 after structural relaxation (GGA-PBE).

Output
Its raw total energy is -5.606 eV/atom. Its calculated formation energy is -0.709 eV per atom.

Cell: 8.7683 8.7683 22.3633 Å, 90.00 90.00 120.00°
With the nearest neighbours (Å) after each atom.
Space group R-3m (No. 166, hexagonal axes)
Inequivalent atoms, fractional coordinates:
Ac 0.0000 0.0000 0.2401 x6  3 Ir 3.02, 3 Au 3.28
Ac 0.0026 0.5013 0.7599 x18  2 Ir 3.01, 1 Ni 3.03, 3 Au 3.26-3.29
Ni 0.0000 0.0000 0.5000 x3  6 Ac 3.03
Ir 0.0000 0.5000 0.5000 x9  6 Ac 3.01-3.02
Au 0.0000 0.0000 0.0000 x3  6 Ac 3.26
Au 0.0000 0.5000 0.0000 x9  6 Ac 3.28-3.29


Entry from the Alexandria database: Ac8NiIr3Au3 after structural relaxation (GGA-PBE).

Output
Its raw total energy is -5.674 eV/atom. Its calculated formation energy is -0.670 eV per atom.

Cell: 8.7491 8.7491 22.3370 Å, 90.00 90.00 120.00°
With the nearest neighbours (Å) after each atom.
Space group R-3m (No. 166, hexagonal axes)
Inequivalent atoms, fractional coordinates:
Ac 0.0000 0.0000 0.2404 x6  3 Ir 3.02, 3 Au 3.27
Ac 0.0035 0.5018 0.2392 x18  1 Ni 2.98, 2 Ir 3.01, 2 Au 3.28
Ni 0.0000 0.0000 0.5000 x3  6 Ac 2.98
Ir 0.0000 0.5000 0.5000 x9  6 Ac 3.01-3.02
Au 0.0000 0.5000 0.0000 x9  6 Ac 3.27-3.28


Entry from the Alexandria database: Ac2IrAuO8 after structural relaxation (GGA-PBE).

Output
Its raw total energy is -6.673 eV/atom.

Cell: 4.4484 5.4758 7.2853 Å, 84.43 87.86 83.79°
With the nearest neighbours (Å) after each atom.
Space group P-1 (No. 2)
Inequivalent atoms, fractional coordinates:
Ac 0.1954 0.0145 0.2470 x2  8 O 2.52-2.81
Ir 0.5000 0.5000 0.5000 x1  6 O 1.87-2.03
Au 0.5000 0.5000 0.0000 x1  4 O 2.03-2.05
O 0.1907 0.7413 0.5598 x2  1 Ir 1.87
O 0.2793 0.8411 0.9384 x2  1 Au 2.03
O 0.2955 0.2356 0.6151 x2  1 Ir 1.90
O 0.2945 0.4891 0.2571 x2  1 Ir 2.03, 1 Au 2.05


Entry from the Alexandria database: Ac5IrAu2O after structural relaxation (GGA-PBE).

Output
Its raw total energy is -5.702 eV/atom.

Cell: 4.3134 19.0044 13.9405 Å, 90.00 90.00 90.00°
With the nearest neighbours (Å) after each atom.
Space group Cmc2_1 (No. 36)
Inequivalent atoms, fractional coordinates:
Ac 0.0000 0.0000 0.0000 x4  1 O 2.41
Ac 0.0000 0.1417 0.2458 x4  1 Ir 2.91
Ac 0.0000 0.1939 0.6107 x4  1 O 2.63
Ac 0.0000 0.2068 0.9047 x4  2 Ir 2.98
Ac 0.0000 0.4519 0.2353 x4  2 O 2.45
Ir 0.0000 0.2945 0.2576 x4  6 Ac 2.91-3.01
Au 0.0000 0.3772 0.5669 x4  7 Ac 3.31-3.54
Au 0.0000 0.3818 0.9268 x4  7 Ac 3.28-3.65
O 0.0000 0.0592 0.6530 x4  4 Ac 2.41-2.63


Entry from the Alexandria database: Ac3IrAuO after structural relaxation (GGA-PBE).

Output
Its raw total energy is -6.343 eV/atom.

Cell: 9.0400 4.3488 9.5096 Å, 90.00 100.93 90.00°
With the nearest neighbours (Å) after each atom.
Space group P2_1/m (No. 11)
Inequivalent atoms, fractional coordinates:
Ac 0.0687 0.2500 0.3386 x2  3 Ir 2.97-3.01, 2 Au 3.32
Ac 0.3144 0.2500 0.9747 x2  3 O 2.47-2.49
Ac 0.3805 0.7500 0.6447 x2  1 O 2.49
Ir 0.1598 0.2500 0.6556 x2  6 Ac 2.97-3.09
Au 0.3264 0.7500 0.2780 x2  7 Ac 3.32-3.60
O 0.4170 0.7500 0.9105 x2  4 Ac 2.47-2.49


Entry from the Alexandria database: AcIrAuO6 after structural relaxation (GGA-PBE).

Output
Its raw total energy is -6.162 eV/atom.

Cell: 5.9821 5.9821 8.0156 Å, 90.00 90.00 120.00°
With the nearest neighbours (Å) after each atom.
Space group P-31c (No. 163)
Inequivalent atoms, fractional coordinates:
Ac 0.3333 0.6667 0.2500 x2  6 O 2.49
Ir 0.3333 0.6667 0.7500 x2  6 O 1.93
Au 0.0000 0.0000 0.0000 x2  6 O 2.39
O 0.0688 0.3979 0.6147 x12  1 Ir 1.93


Entry from the Alexandria database: Ac8PIr3Au4 after structural relaxation (GGA-PBE).

Output
Its raw total energy is -5.708 eV/atom. Its calculated formation energy is -0.835 eV per atom.

Cell: 8.8594 8.8594 22.1821 Å, 90.00 90.00 120.00°
With the nearest neighbours (Å) after each atom.
Space group R-3m (No. 166, hexagonal axes)
Inequivalent atoms, fractional coordinates:
Ac 0.0000 0.0000 0.2414 x6  3 Ir 3.05, 3 Au 3.27
Ac 0.0080 0.5040 0.7588 x18  2 Ir 3.02, 1 P 3.10, 3 Au 3.23-3.30
P 0.0000 0.0000 0.5000 x3  6 Ac 3.10
Ir 0.0000 0.5000 0.5000 x9  6 Ac 3.02-3.05
Au 0.0000 0.0000 0.0000 x3  6 Ac 3.23
Au 0.0000 0.5000 0.0000 x9  6 Ac 3.27-3.30


Entry from the Alexandria database: Ac8PIr3Au3 after structural relaxation (GGA-PBE).

Output
Its raw total energy is -5.770 eV/atom. Its calculated formation energy is -0.790 eV per atom.

Cell: 8.8484 8.8484 21.9866 Å, 90.00 90.00 120.00°
With the nearest neighbours (Å) after each atom.
Space group R-3m (No. 166, hexagonal axes)
Inequivalent atoms, fractional coordinates:
Ac 0.0000 0.0000 0.2418 x6  3 Ir 3.04, 3 Au 3.25
Ac 0.0074 0.5037 0.7585 x18  2 Ir 3.02, 1 P 3.09, 2 Au 3.28
P 0.0000 0.0000 0.5000 x3  6 Ac 3.09
Ir 0.0000 0.5000 0.5000 x9  6 Ac 3.02-3.04
Au 0.0000 0.5000 0.0000 x9  6 Ac 3.25-3.28


Entry from the Alexandria database: Ac4PIrAu2 after structural relaxation (GGA-PBE).

Output
Its raw total energy is -5.555 eV/atom. Its calculated formation energy is -0.898 eV per atom.

Cell: 7.7754 4.3708 7.8794 Å, 90.00 108.21 90.00°
With the nearest neighbours (Å) after each atom.
Space group P2/m (No. 10)
Inequivalent atoms, fractional coordinates:
Ac 0.2240 0.0000 0.2314 x2  2 Ir 3.02, 1 P 3.13, 3 Au 3.22-3.32
Ac 0.2285 0.5000 0.7518 x2  1 Ir 3.03, 2 P 3.11, 3 Au 3.24-3.32
P 0.0000 0.0000 0.5000 x1  6 Ac 3.11-3.13
Ir 0.0000 0.5000 0.0000 x1  6 Ac 3.02-3.03
Au 0.5000 0.0000 0.0000 x1  6 Ac 3.22-3.24
Au 0.5000 0.5000 0.5000 x1  6 Ac 3.32


Entry from the Alexandria database: Ac4Ir2PbAu after structural relaxation (GGA-PBE).

Output
Its raw total energy is -5.629 eV/atom. Its calculated formation energy is -0.487 eV per atom.

Cell: 4.4207 14.0053 17.4930 Å, 90.00 90.00 90.00°
With the nearest neighbours (Å) after each atom.
Space group Cmcm (No. 63)
Inequivalent atoms, fractional coordinates:
Ac 0.0000 0.0000 0.0000 x4  4 Ir 3.06
Ac 0.0000 0.2740 0.0865 x8  1 Au 2.93, 3 Ir 2.94-3.03
Ac 0.0000 0.4267 0.7500 x4  2 Au 3.11, 2 Ir 3.37
Ir 0.0000 0.3712 0.5627 x8  5 Ac 2.94-3.06
Pb 0.0000 0.1242 0.7500 x4  2 Au 3.01
Au 0.0000 0.2296 0.2500 x4  4 Ac 2.93-3.11, 2 Pb 3.01


Entry from the Alexandria database: AcIrPbAu after structural relaxation (GGA-PBE).

Output
Its raw total energy is -5.239 eV/atom. Its calculated formation energy is -0.251 eV per atom.

Cell: 7.3392 7.3392 7.3392 Å, 90.00 90.00 90.00°
With the nearest neighbours (Å) after each atom.
Space group F-43m (No. 216)
Inequivalent atoms, fractional coordinates:
Ac 0.0000 0.0000 0.0000 x4  4 Ir 3.18, 4 Au 3.18
Ir 0.2500 0.2500 0.2500 x4  4 Pb 3.18, 4 Ac 3.18
Pb 0.0000 0.0000 0.5000 x4  4 Au 3.18, 4 Ir 3.18
Au 0.2500 0.2500 0.7500 x4  4 Ac 3.18, 4 Pb 3.18


Entry from the Alexandria database: Ac8Ir3PdAu4 after structural relaxation (GGA-PBE).

Output
Its raw total energy is -5.643 eV/atom. Its calculated formation energy is -0.784 eV per atom.

Cell: 8.8111 8.8111 22.3217 Å, 90.00 90.00 120.00°
With the nearest neighbours (Å) after each atom.
Space group R-3m (No. 166, hexagonal axes)
Inequivalent atoms, fractional coordinates:
Ac 0.0000 0.0000 0.2403 x6  3 Ir 3.03, 3 Au 3.28
Ac 0.0083 0.5042 0.7587 x18  2 Ir 3.01, 1 Pd 3.09, 3 Au 3.22-3.29
Ir 0.0000 0.5000 0.5000 x9  6 Ac 3.01-3.03
Pd 0.0000 0.0000 0.5000 x3  6 Ac 3.09
Au 0.0000 0.0000 0.0000 x3  6 Ac 3.22
Au 0.0000 0.5000 0.0000 x9  6 Ac 3.28-3.29


Entry from the Alexandria database: Ac3IrPdAu after structural relaxation (GGA-PBE).

Output
Its raw total energy is -5.591 eV/atom. Its calculated formation energy is -0.648 eV per atom.

Cell: 8.9040 4.3638 9.9771 Å, 90.00 112.11 90.00°
With the nearest neighbours (Å) after each atom.
Space group P2_1/m (No. 11)
Inequivalent atoms, fractional coordinates:
Ac 0.0364 0.2500 0.3542 x2  3 Ir 3.02-3.09, 2 Au 3.34
Ac 0.2116 0.2500 0.9974 x2  3 Pd 3.01-3.23, 1 Ir 3.10, 2 Au 3.33
Ac 0.4135 0.7500 0.6341 x2  1 Pd 2.94, 2 Ir 2.99
Ir 0.2124 0.2500 0.6873 x2  6 Ac 2.99-3.10, 2 Pd 3.19
Pd 0.4016 0.7500 0.9243 x2  2 Pd 2.85, 3 Ac 2.94-3.01
Au 0.2667 0.7500 0.2643 x2  7 Ac 3.33-3.42


Entry from the Alexandria database: Ac4IrPdAu2 after structural relaxation (GGA-PBE).

Output
Its raw total energy is -5.428 eV/atom. Its calculated formation energy is -0.798 eV per atom.

Cell: 7.6641 4.4216 7.8597 Å, 90.00 108.87 90.00°
With the nearest neighbours (Å) after each atom.
Space group P2/m (No. 10)
Inequivalent atoms, fractional coordinates:
Ac 0.2340 0.0000 0.2261 x2  2 Ir 3.03, 1 Pd 3.11, 3 Au 3.22-3.29
Ac 0.2480 0.5000 0.7707 x2  1 Ir 3.01, 2 Pd 3.10, 3 Au 3.23-3.30
Ir 0.0000 0.5000 0.0000 x1  6 Ac 3.01-3.03
Pd 0.5000 0.0000 0.0000 x1  6 Ac 3.10-3.11
Au 0.0000 0.0000 0.5000 x1  6 Ac 3.22-3.23
Au 0.5000 0.5000 0.5000 x1  6 Ac 3.29-3.30


Entry from the Alexandria database: Ac2IrPdAu after structural relaxation (GGA-PBE).

Output
Its raw total energy is -5.802 eV/atom. Its calculated formation energy is -0.692 eV per atom.

Cell: 4.4117 4.4117 13.6774 Å, 90.00 90.00 90.00°
With the nearest neighbours (Å) after each atom.
Space group P4/nmm (No. 129, origin choice 2)
Inequivalent atoms, fractional coordinates:
Ac 0.2500 0.2500 0.1098 x2  5 Ir 3.08-3.12
Ac 0.2500 0.2500 0.6751 x2  1 Ir 2.87, 4 Au 3.17
Ir 0.2500 0.2500 0.8847 x2  6 Ac 2.87-3.12
Pd 0.2500 0.7500 0.5000 x2  4 Au 2.87, 4 Pd 3.12
Au 0.2500 0.2500 0.3655 x2  4 Pd 2.87, 4 Ac 3.17


Entry from the Alexandria database: Ac6IrPd2Au after structural relaxation (GGA-PBE).

Output
Its raw total energy is -5.337 eV/atom. Its calculated formation energy is -0.619 eV per atom.

Cell: 7.7024 7.7024 21.3402 Å, 90.00 90.00 120.00°
With the nearest neighbours (Å) after each atom.
Space group R3 (No. 146, hexagonal axes)
Inequivalent atoms, fractional coordinates:
Ac 0.0008 0.3402 0.0000 x9  1 Ir 2.99, 2 Pd 3.10-3.12, 1 Au 3.23
Ac 0.0096 0.6959 0.1722 x9  1 Ir 3.01, 2 Pd 3.09-3.12, 1 Au 3.20
Ir 0.0000 0.0000 0.2589 x3  6 Ac 2.99-3.01
Pd 0.0000 0.0000 0.0779 x3  6 Ac 3.10-3.12
Pd 0.0000 0.0000 0.5826 x3  6 Ac 3.09-3.12
Au 0.0000 0.0000 0.7597 x3  6 Ac 3.20-3.23


Entry from the Alexandria database: Ac6Ir3Pd2Au after structural relaxation (GGA-PBE).

Output
Its raw total energy is -6.119 eV/atom. Its calculated formation energy is -0.711 eV per atom.

Cell: 19.1735 4.3736 8.8314 Å, 90.00 103.75 90.00°
With the nearest neighbours (Å) after each atom.
Space group C2/m (No. 12)
Inequivalent atoms, fractional coordinates:
Ac 0.0039 0.0000 0.2323 x4  3 Ir 2.99-3.01, 1 Pd 3.17, 2 Au 3.23
Ac 0.1636 0.5000 0.0928 x4  3 Ir 3.04-3.05, 3 Pd 3.18
Ac 0.1737 0.5000 0.5753 x4  3 Ir 3.00-3.04, 2 Pd 3.18, 1 Au 3.24
Ir 0.0000 0.5000 0.0000 x2  6 Ac 2.99-3.05
Ir 0.1653 0.0000 0.3333 x4  6 Ac 3.00-3.04
Pd 0.1657 0.0000 0.8320 x4  6 Ac 3.17-3.18
Au 0.0000 0.5000 0.5000 x2  6 Ac 3.23-3.24


Entry from the Alexandria database: Ac6Ir2PdAu3 after structural relaxation (GGA-PBE).

Output
Its raw total energy is -5.576 eV/atom. Its calculated formation energy is -0.793 eV per atom.

Cell: 7.6486 13.2283 7.8618 Å, 90.00 108.87 90.00°
With the nearest neighbours (Å) after each atom.
Space group C2/m (No. 12)
Inequivalent atoms, fractional coordinates:
Ac 0.2308 0.0000 0.2223 x4  2 Ir 3.01, 1 Pd 3.10, 3 Au 3.22-3.26
Ac 0.2473 0.3281 0.2261 x8  2 Ir 3.01-3.02, 1 Pd 3.12, 3 Au 3.25-3.30
Ir 0.0000 0.1674 0.0000 x4  6 Ac 3.01-3.02
Pd 0.0000 0.5000 0.0000 x2  6 Ac 3.10-3.12
Au 0.0000 0.0000 0.5000 x2  6 Ac 3.22-3.29
Au 0.0000 0.3387 0.5000 x4  6 Ac 3.25-3.30


Entry from the Alexandria database: AcPmIrAu after structural relaxation (GGA-PBE).

Output
For the energy above the most stable polymorph in this dataset, the calculation gives 0 meV/atom. Its raw total energy is -5.872 eV/atom. Its calculated formation energy is -0.623 eV per atom.

Cell: 7.4144 7.4144 7.4144 Å, 90.00 90.00 90.00°
With the nearest neighbours (Å) after each atom.
Space group F-43m (No. 216)
Inequivalent atoms, fractional coordinates:
Ac 0.0000 0.0000 0.0000 x4  4 Ir 3.21, 4 Au 3.21
Pm 0.0000 0.0000 0.5000 x4  4 Ir 3.21, 4 Au 3.21
Ir 0.2500 0.2500 0.2500 x4  4 Ac 3.21, 4 Pm 3.21
Au 0.2500 0.2500 0.7500 x4  4 Ac 3.21, 4 Pm 3.21


no.,DOS at the Fermi energy (states/eV/atom)
1,0.866
2,0.688
3,0.541
4,0.554
5,0.344
6,0.831
7,0.404
8,0.588
9,0.372
10,0.411
11,0.499
12,0.648
13,0.599
14,0.554
15,0.688
16,0.524
17,0.216
18,0.750
19,0.479
20,0.526
21,0.874